# 1
Material: Ba3Sb2I
Method: DFT, GGA-PBE
State: optimized geometry

a b c (Å): 9.1719 9.1719 8.1810
angles (deg): 90.00 90.00 60.05
With the nearest neighbours (Å) after each atom.
Fractional coordinates of all 12 atoms:
Ba 0.1224 0.8776 0.7500  1 I 3.46, 4 Sb 3.53
Ba 0.1226 0.5001 0.2500  1 I 3.46, 4 Sb 3.53
Ba 0.5001 0.1226 0.7500  1 I 3.46, 4 Sb 3.53
Ba 0.4999 0.8774 0.2500  1 I 3.46, 4 Sb 3.53
Ba 0.8774 0.4999 0.7500  1 I 3.46, 4 Sb 3.53
Ba 0.8776 0.1224 0.2500  1 I 3.46, 4 Sb 3.53
Sb 0.1668 0.1668 0.0000  6 Ba 3.53
Sb 0.1668 0.1668 0.5000  6 Ba 3.53
Sb 0.8332 0.8332 0.0000  6 Ba 3.53
Sb 0.8332 0.8332 0.5000  6 Ba 3.53
I 0.4994 0.5006 0.7500  3 Ba 3.46
I 0.5006 0.4994 0.2500  3 Ba 3.46

Calculated values
space-group type = Cmcm (63)
size of the total moment = 0.000 μB per atom
E_tot = -3.73 eV per atom

=====

# 2
Material: KZnBiH
Method: DFT, GGA-PBE
State: optimized geometry

a b c (Å): 7.2876 7.2169 3.7464
angles (deg): 76.08 73.99 29.93
With the nearest neighbours (Å) after each atom.
Fractional coordinates of all 4 atoms:
K 0.0000 0.0000 0.0000  4 H 2.71-2.89
Zn 0.3101 0.3101 0.6899  1 H 1.65
Bi 0.7116 0.7116 0.2884  4 Zn 2.88-3.05
H 0.4326 0.4326 0.5674  1 Zn 1.65

Calculated values
space-group type = Fmm2 (42)
size of the total moment = 0.000 μB per atom
E_tot = -2.56 eV per atom

=====

# 3
Material: Al2NiOs
Method: DFT, GGA-PBE
State: optimized geometry

a b c (Å): 2.7493 2.7493 7.9328
angles (deg): 90.00 90.00 114.96
With the nearest neighbours (Å) after each atom.
Fractional coordinates of all 4 atoms:
Al 0.0000 0.0000 0.2380  2 Ni 2.40, 2 Os 2.55
Al 0.0000 0.0000 0.7620  2 Ni 2.40, 2 Os 2.55
Ni 0.5000 0.5000 0.0000  4 Al 2.40
Os 0.5000 0.5000 0.5000  4 Al 2.55, 4 Os 2.75

Calculated values
space-group type = Cmmm (65)
energy of formation from the pure elements = -245 meV/atom
size of the total moment = 0.000 μB per atom
E_tot = -6.37 eV per atom

=====

# 4
Material: SrSmI
Method: DFT, GGA-PBE
State: optimized geometry

a b c (Å): 4.0079 4.0079 16.1818
angles (deg): 90.00 90.00 120.00
With the nearest neighbours (Å) after each atom.
Fractional coordinates of all 6 atoms:
Sr 0.0000 0.0000 0.0000  6 Sm 3.94, 6 Sr 4.01
Sr 0.3333 0.6667 0.5000  6 I 3.45
Sm 0.3333 0.6667 0.1973  3 I 3.29
Sm 0.3333 0.6667 0.8027  3 I 3.29
I 0.0000 0.0000 0.3423  3 Sm 3.29, 3 Sr 3.45
I 0.0000 0.0000 0.6577  3 Sm 3.29, 3 Sr 3.45

Calculated values
space-group type = P-6m2 (187)
size of the total moment = 0.192 μB per atom
E_tot = -3.19 eV per atom

=====

# 5
Material: La3Tb8Pr
Method: DFT, GGA-PBE
State: optimized geometry

a b c (Å): 8.8170 8.8170 8.8170
angles (deg): 136.87 98.08 97.45
With the nearest neighbours (Å) after each atom.
Fractional coordinates of all 12 atoms:
La 0.0000 0.0000 0.0000  8 Tb 3.34-3.53
La 0.2513 0.5000 0.7513  6 Tb 3.80-3.82
La 0.7487 0.5000 0.2487  6 Tb 3.80-3.82
Tb 0.0768 0.8266 0.2502  6 Tb 3.43-3.70, 1 Pr 3.52, 4 La 3.53-3.82
Tb 0.2514 0.0023 0.7509  6 Tb 3.23-3.43, 1 Pr 3.32, 1 La 3.34
Tb 0.2514 0.5005 0.2491  6 Tb 3.23-3.43, 1 Pr 3.32, 1 La 3.34
Tb 0.4236 0.1734 0.2502  6 Tb 3.43-3.70, 1 Pr 3.52, 4 La 3.53-3.82
Tb 0.5764 0.8266 0.7498  6 Tb 3.43-3.70, 1 Pr 3.52, 4 La 3.53-3.82
Tb 0.7486 0.4995 0.7509  6 Tb 3.23-3.43, 1 Pr 3.32, 1 La 3.34
Tb 0.7486 0.9977 0.2491  6 Tb 3.23-3.43, 1 Pr 3.32, 1 La 3.34
Tb 0.9232 0.1734 0.7498  6 Tb 3.43-3.70, 1 Pr 3.52, 4 La 3.53-3.82
Pr 0.5000 0.0000 0.5000  8 Tb 3.32-3.52

Calculated values
space-group type = Immm (71)
energy of formation from the pure elements = 268 meV/atom
size of the total moment = 0.000 μB per atom
E_tot = -4.45 eV per atom

=====

# 6
Material: Sc3AlCd2
Method: DFT, GGA-PBE
State: optimized geometry

a b c (Å): 3.4438 3.4438 10.7334
angles (deg): 90.00 90.00 90.00
With the nearest neighbours (Å) after each atom.
Fractional coordinates of all 6 atoms:
Sc 0.0000 0.0000 0.0000  8 Cd 3.05
Sc 0.0000 0.0000 0.3444  4 Al 2.95, 4 Cd 3.06
Sc 0.0000 0.0000 0.6556  4 Al 2.95, 4 Cd 3.06
Al 0.5000 0.5000 0.5000  8 Sc 2.95
Cd 0.5000 0.5000 0.1714  8 Sc 3.05-3.06
Cd 0.5000 0.5000 0.8286  8 Sc 3.05-3.06

Calculated values
space-group type = P4/mmm (123)
energy of formation from the pure elements = -340 meV/atom
size of the total moment = 0.000 μB per atom
E_tot = -4.43 eV per atom